(1)
A PBEsol-optimized structure of KAgCl2, computed with SCAN.

The total energy comes out at -15.20 eV per atom. The space group is P4mm (99).

abc: 4.081 4.081 6.025
angles: 90.00 90.00 90.00
Fractional positions:
K: 0.000 0.000 0.000
Ag: 0.500 0.500 0.469
Cl: 0.000 0.000 0.507
Cl: 0.500 0.500 0.042

=====

(2)
A PBEsol-optimized structure of RbTbW2O8, computed with SCAN.

The total energy comes out at -24.13 eV per atom. The space group is C2/c (15).

abc: 7.480 7.480 7.487
angles: 117.54 117.54 89.07
Fractional positions:
Rb: 0.201 0.799 0.750
Rb: 0.799 0.201 0.250
Tb: 0.228 0.772 0.250
Tb: 0.772 0.228 0.750
W: 0.301 0.307 0.270
W: 0.307 0.301 0.770
W: 0.693 0.699 0.230
W: 0.699 0.693 0.730
O: 0.045 0.210 0.691
O: 0.065 0.382 0.127
O: 0.210 0.045 0.191
O: 0.242 0.379 0.556
O: 0.369 0.586 0.029
O: 0.379 0.242 0.056
O: 0.382 0.065 0.627
O: 0.414 0.631 0.471
O: 0.586 0.369 0.529
O: 0.618 0.935 0.373
O: 0.621 0.758 0.944
O: 0.631 0.414 0.971
O: 0.758 0.621 0.444
O: 0.790 0.955 0.809
O: 0.935 0.618 0.873
O: 0.955 0.790 0.309

=====

(3)
A PBEsol-optimized structure of MgTa4Te, computed with SCAN.

The total energy comes out at -50.97 eV per atom. The space group is F-43m (216).

abc: 5.531 5.531 5.531
angles: 60.00 60.00 60.00
Fractional positions:
Mg: 0.000 0.000 0.000
Ta: 0.373 0.373 0.373
Ta: 0.373 0.373 0.881
Ta: 0.373 0.881 0.373
Ta: 0.881 0.373 0.373
Te: 0.750 0.750 0.750

=====

(4)
A PBEsol-optimized structure of CsSc3Ga, computed with SCAN.

The total energy comes out at -17.89 eV per atom. The space group is Pm-3m (221).

abc: 5.156 5.156 5.156
angles: 90.00 90.00 90.00
Fractional positions:
Cs: 0.000 0.000 0.000
Sc: 0.000 0.000 0.500
Sc: 0.000 0.500 0.000
Sc: 0.500 0.000 0.000
Ga: 0.500 0.500 0.500

=====

(5)
A PBEsol-optimized structure of ZnInSe2, computed with SCAN.

The total energy comes out at -22.21 eV per atom. The space group is P4/mmm (123).

abc: 3.930 3.930 5.526
angles: 90.00 90.00 90.00
Fractional positions:
Zn: 0.000 0.000 0.000
In: 0.500 0.500 0.500
Se: 0.000 0.000 0.500
Se: 0.500 0.500 0.000

=====

(6)
A PBEsol-optimized structure of Ca5Si2N6, computed with SCAN.

The total energy comes out at -10.93 eV per atom. The space group is C2/m (12).

abc: 5.858 5.858 11.937
angles: 94.87 94.87 115.92
Fractional positions:
Ca: 0.088 0.088 0.708
Ca: 0.189 0.811 0.000
Ca: 0.241 0.759 0.500
Ca: 0.271 0.621 0.239
Ca: 0.379 0.729 0.761
Ca: 0.621 0.271 0.239
Ca: 0.729 0.379 0.761
Ca: 0.759 0.241 0.500
Ca: 0.811 0.189 0.000
Ca: 0.912 0.912 0.292
Si: 0.324 0.324 0.431
Si: 0.349 0.349 0.925
Si: 0.651 0.651 0.075
Si: 0.676 0.676 0.569
N: 0.052 0.343 0.372
N: 0.093 0.388 0.862
N: 0.343 0.052 0.372
N: 0.356 0.356 0.075
N: 0.388 0.093 0.862
N: 0.390 0.390 0.585
N: 0.610 0.610 0.415
N: 0.612 0.907 0.138
N: 0.644 0.644 0.925
N: 0.657 0.948 0.628
N: 0.907 0.612 0.138
N: 0.948 0.657 0.628

=====

(7)
A PBEsol-optimized structure of Zr6Ga16Ru7, computed with SCAN.

The total energy comes out at -24.36 eV per atom. The space group is Fm-3m (225).

abc: 8.658 8.658 8.658
angles: 60.00 60.00 60.00
Fractional positions:
Zr: 0.217 0.217 0.783
Zr: 0.217 0.783 0.217
Zr: 0.217 0.783 0.783
Zr: 0.783 0.217 0.217
Zr: 0.783 0.217 0.783
Zr: 0.783 0.783 0.217
Ga: 0.130 0.623 0.623
Ga: 0.155 0.155 0.155
Ga: 0.155 0.155 0.534
Ga: 0.155 0.534 0.155
Ga: 0.377 0.377 0.377
Ga: 0.377 0.377 0.870
Ga: 0.377 0.870 0.377
Ga: 0.466 0.845 0.845
Ga: 0.534 0.155 0.155
Ga: 0.623 0.130 0.623
Ga: 0.623 0.623 0.130
Ga: 0.623 0.623 0.623
Ga: 0.845 0.466 0.845
Ga: 0.845 0.845 0.466
Ga: 0.845 0.845 0.845
Ga: 0.870 0.377 0.377
Ru: 0.000 0.000 0.500
Ru: 0.000 0.500 0.000
Ru: 0.000 0.500 0.500
Ru: 0.500 0.000 0.000
Ru: 0.500 0.000 0.500
Ru: 0.500 0.500 0.000
Ru: 0.500 0.500 0.500

=====

(8)
A PBEsol-optimized structure of BaLiTl2Rh, computed with SCAN.

The total energy comes out at -44.41 eV per atom. The space group is P4/mmm (123).

abc: 5.225 5.225 4.944
angles: 90.00 90.00 90.00
Fractional positions:
Ba: 0.000 0.000 0.000
Li: 0.500 0.500 0.000
Tl: 0.000 0.500 0.500
Tl: 0.500 0.000 0.500
Rh: 0.500 0.500 0.500

=====

(9)
A PBEsol-optimized structure of MgCo2O4, computed with SCAN.

The total energy comes out at -11.19 eV per atom. The space group is Fd-3m (227).

abc: 5.708 5.708 5.708
angles: 60.00 60.00 60.00
Fractional positions:
Mg: 0.125 0.125 0.125
Mg: 0.875 0.875 0.875
Co: 0.000 0.500 0.500
Co: 0.500 0.000 0.500
Co: 0.500 0.500 0.000
Co: 0.500 0.500 0.500
O: 0.265 0.265 0.265
O: 0.265 0.265 0.705
O: 0.265 0.705 0.265
O: 0.295 0.735 0.735
O: 0.705 0.265 0.265
O: 0.735 0.295 0.735
O: 0.735 0.735 0.295
O: 0.735 0.735 0.735

=====

(10)
A PBEsol-optimized structure of HfNiN2O, computed with SCAN.

The total energy comes out at -21.20 eV per atom. The space group is P4/mmm (123).

abc: 3.628 3.628 3.585
angles: 90.00 90.00 90.00
Fractional positions:
Hf: 0.000 0.000 0.000
Ni: 0.500 0.500 0.500
N: 0.000 0.500 0.500
N: 0.500 0.000 0.500
O: 0.500 0.500 0.000

=====

(11)
A PBEsol-optimized structure of Ag2AsIr, computed with SCAN.

The total energy comes out at -38.33 eV per atom. The space group is Amm2 (38).

abc: 4.204 5.482 5.482
angles: 30.93 90.00 90.00
Fractional positions:
Ag: 0.000 0.000 0.000
Ag: 0.500 0.370 0.370
As: 0.000 0.738 0.738
Ir: 0.500 0.631 0.631

=====

(12)
A PBEsol-optimized structure of Ba2ZnSe, computed with SCAN.

The total energy comes out at -29.21 eV per atom. The space group is Amm2 (38).

abc: 6.669 4.694 4.694
angles: 90.00 90.00 90.00
Fractional positions:
Ba: 0.000 0.000 0.000
Ba: 0.500 0.499 0.499
Zn: 0.500 0.998 0.998
Se: 0.000 0.500 0.500

=====

(13)
A PBEsol-optimized structure of LaRuO2, computed with SCAN.

The total energy comes out at -23.90 eV per atom. The space group is R-3m (166).

abc: 6.159 6.159 6.159
angles: 32.27 32.27 32.27
Fractional positions:
La: 0.000 0.000 0.000
Ru: 0.500 0.500 0.500
O: 0.128 0.128 0.128
O: 0.872 0.872 0.872

=====

(14)
A PBEsol-optimized structure of Cd2IrAu, computed with SCAN.

The total energy comes out at -50.27 eV per atom. The space group is Cmmm (65).

abc: 4.794 4.794 3.072
angles: 90.00 90.00 105.11
Fractional positions:
Cd: 0.000 0.500 0.000
Cd: 0.500 0.000 0.000
Ir: 0.000 0.000 0.500
Au: 0.500 0.500 0.500

=====

(15)
A PBEsol-optimized structure of InCoRe2, computed with SCAN.

The total energy comes out at -47.44 eV per atom. The space group is P4/mmm (123).

abc: 4.531 4.531 2.869
angles: 90.00 90.00 90.00
Fractional positions:
In: 0.000 0.000 0.000
Co: 0.500 0.500 0.000
Re: 0.000 0.500 0.500
Re: 0.500 0.000 0.500

=====

(16)
A PBEsol-optimized structure of ZrPaTc2, computed with SCAN.

The total energy comes out at -50.48 eV per atom. The space group is Fm-3m (225).

abc: 4.694 4.694 4.694
angles: 60.00 60.00 60.00
Fractional positions:
Zr: 0.000 0.000 0.000
Pa: 0.500 0.500 0.500
Tc: 0.250 0.250 0.250
Tc: 0.750 0.750 0.750

=====

(17)
A PBEsol-optimized structure of ReAgCl2, computed with SCAN.

The total energy comes out at -29.19 eV per atom. The space group is R-3m (166).

abc: 9.574 9.574 9.574
angles: 17.75 17.75 17.75
Fractional positions:
Re: 0.000 0.000 0.000
Ag: 0.500 0.500 0.500
Cl: 0.270 0.270 0.270
Cl: 0.730 0.730 0.730

=====

(18)
A PBEsol-optimized structure of MgSi4NiO10, computed with SCAN.

The total energy comes out at -10.47 eV per atom. The space group is P4/ncc (130).

abc: 7.086 7.086 14.736
angles: 90.00 90.00 90.00
Fractional positions:
Mg: 0.250 0.750 0.000
Mg: 0.250 0.750 0.500
Mg: 0.750 0.250 0.000
Mg: 0.750 0.250 0.500
Si: 0.007 0.572 0.143
Si: 0.007 0.928 0.643
Si: 0.072 0.507 0.357
Si: 0.072 0.993 0.857
Si: 0.428 0.507 0.857
Si: 0.428 0.993 0.357
Si: 0.493 0.572 0.643
Si: 0.493 0.928 0.143
Si: 0.507 0.072 0.857
Si: 0.507 0.428 0.357
Si: 0.572 0.007 0.643
Si: 0.572 0.493 0.143
Si: 0.928 0.007 0.143
Si: 0.928 0.493 0.643
Si: 0.993 0.072 0.357
Si: 0.993 0.428 0.857
Ni: 0.250 0.250 0.074
Ni: 0.250 0.250 0.574
Ni: 0.750 0.750 0.426
Ni: 0.750 0.750 0.926
O: 0.000 0.169 0.074
O: 0.000 0.331 0.574
O: 0.000 0.669 0.426
O: 0.000 0.831 0.926
O: 0.012 0.702 0.620
O: 0.012 0.798 0.120
O: 0.044 0.544 0.250
O: 0.044 0.956 0.750
O: 0.169 0.000 0.574
O: 0.169 0.500 0.074
O: 0.202 0.511 0.880
O: 0.202 0.988 0.380
O: 0.298 0.511 0.380
O: 0.298 0.988 0.880
O: 0.331 0.000 0.074
O: 0.331 0.500 0.574
O: 0.456 0.544 0.750
O: 0.456 0.956 0.250
O: 0.488 0.702 0.120
O: 0.488 0.798 0.620
O: 0.500 0.169 0.574
O: 0.500 0.331 0.074
O: 0.500 0.669 0.926
O: 0.500 0.831 0.426
O: 0.511 0.202 0.380
O: 0.511 0.298 0.880
O: 0.544 0.044 0.750
O: 0.544 0.456 0.250
O: 0.669 0.000 0.926
O: 0.669 0.500 0.426
O: 0.702 0.012 0.120
O: 0.702 0.488 0.620
O: 0.798 0.012 0.620
O: 0.798 0.488 0.120
O: 0.831 0.000 0.426
O: 0.831 0.500 0.926
O: 0.956 0.044 0.250
O: 0.956 0.456 0.750
O: 0.988 0.202 0.880
O: 0.988 0.298 0.380

=====

(19)
A PBEsol-optimized structure of CoCuNi2, computed with SCAN.

The total energy comes out at -16.07 eV per atom. The space group is Pmmm (47).

abc: 2.563 4.063 4.101
angles: 90.00 90.00 90.00
Fractional positions:
Co: 0.000 0.000 0.000
Cu: 0.500 0.000 0.500
Ni: 0.000 0.500 0.500
Ni: 0.500 0.500 0.000

=====

(20)
A PBEsol-optimized structure of KMnP3O9, computed with SCAN.

The total energy comes out at -10.58 eV per atom. The space group is P-6c2 (188).

abc: 6.693 6.693 10.011
angles: 90.00 90.00 120.00
Fractional positions:
K: 0.000 0.000 0.000
K: 0.000 0.000 0.500
Mn: 0.333 0.667 0.000
Mn: 0.333 0.667 0.500
P: 0.439 0.053 0.250
P: 0.439 0.386 0.750
P: 0.614 0.053 0.750
P: 0.614 0.561 0.250
P: 0.947 0.386 0.250
P: 0.947 0.561 0.750
O: 0.068 0.402 0.121
O: 0.068 0.402 0.379
O: 0.068 0.666 0.621
O: 0.068 0.666 0.879
O: 0.334 0.402 0.621
O: 0.334 0.402 0.879
O: 0.334 0.932 0.121
O: 0.334 0.932 0.379
O: 0.431 0.141 0.750
O: 0.431 0.290 0.250
O: 0.598 0.666 0.121
O: 0.598 0.666 0.379
O: 0.598 0.932 0.621
O: 0.598 0.932 0.879
O: 0.710 0.141 0.250
O: 0.710 0.569 0.750
O: 0.859 0.290 0.750
O: 0.859 0.569 0.250